Here is an optimized crystal structure of TbDyTm2As4 from Alexandria via LeMat-Bulk. Energies are from GGA-PBE.

Structure (CIF):
```
data_TbDyTm2As4
_space_group_name_H-M_alt 'P 1'
_space_group_IT_number 1
_space_group_name_Hall 'P 1'
_cell_length_a 7.092
_cell_length_b 4.098
_cell_length_c 7.094
_cell_angle_alpha 90.00
_cell_angle_beta 109.47
_cell_angle_gamma 90.00
loop_
_atom_site_label
_atom_site_type_symbol
_atom_site_fract_x
_atom_site_fract_y
_atom_site_fract_z
Tb1 Tb 0.000 0.000 0.000
Dy1 Dy 0.000 0.500 0.500
Tm1 Tm 0.500 0.000 0.500
Tm2 Tm 0.500 0.500 0.000
As1 As 0.254 0.000 0.751
As2 As 0.254 0.500 0.252
As3 As 0.746 0.000 0.249
As4 As 0.746 0.500 0.748
```

Properties
size of the total moment	0.0	Bohr magnetons per cell
formation energy	-1522	meV/atom

---

Here is an optimized crystal structure of HPdAu2 from Alexandria via LeMat-Bulk. Energies are from GGA-PBE.

Structure (CIF):
```
data_HPdAu2
_space_group_name_H-M_alt 'P 1'
_space_group_IT_number 1
_space_group_name_Hall 'P 1'
_cell_length_a 4.413
_cell_length_b 4.413
_cell_length_c 4.413
_cell_angle_alpha 60.00
_cell_angle_beta 60.00
_cell_angle_gamma 60.00
loop_
_atom_site_label
_atom_site_type_symbol
_atom_site_fract_x
_atom_site_fract_y
_atom_site_fract_z
H1 H 0.000 0.000 0.000
Pd1 Pd 0.500 0.500 0.500
Au1 Au 0.250 0.250 0.250
Au2 Au 0.750 0.750 0.750
```

Properties
size of the total moment	0.0	Bohr magnetons per cell
energy relative to the lowest polymorph listed for this composition	591	meV per atom